(a)
4
Lattice="4.404 0.000 0.000 0.000 5.026 0.000 0.000 0.000 5.026" Properties=species:S:1:pos:R:3 comment="PBE PuBiSb2, relaxed" dos_at_fermi_per_ev_fu=10.353 crystal_system=tetragonal mass_density_g_cm3=10.4 pbc="T T T"
Bi 2.202 0.000 0.000
Sb 0.000 0.000 2.513
Sb 0.000 2.513 0.000
Pu 2.202 2.513 2.513

(b)
4
Lattice="-3.884 1.287 -0.846 -1.083 -0.649 3.983 1.686 6.036 1.442" Properties=species:S:1:pos:R:3 comment="PBE PuBiSb2, relaxed" dos_at_fermi_per_ev_fu=10.009 crystal_system=tetragonal mass_density_g_cm3=10.3 pbc="T T T"
Sb 1.239 4.436 1.059
Bi -2.483 0.319 1.568
Pu -1.640 3.337 2.289
Sb 0.447 1.600 0.382

Which of them is most stable? Easy: (a).

(a)
4
Lattice="-4.351 1.715 -2.142 1.791 -0.843 -4.313 -1.789 -4.394 0.116" Properties=species:S:1:pos:R:3 comment="PBE PuBi2Sb, relaxed" dos_at_fermi_per_ev_fu=10.835 crystal_system=tetragonal mass_density_g_cm3=11.2 pbc="T T T"
Bi 0.896 -0.421 -2.156
Bi -0.895 -2.197 0.058
Pu -2.175 -1.761 -3.170
Sb -2.175 0.858 -1.071

(b)
4
Lattice="3.455 0.000 0.000 1.727 2.992 0.000 1.727 0.997 11.960" Properties=species:S:1:pos:R:3 comment="PBE PuBi2Sb, relaxed" dos_at_fermi_per_ev_fu=10.132 crystal_system=trigonal mass_density_g_cm3=10.5 pbc="T T T"
Pu 3.455 1.995 5.980
Bi 5.182 2.992 3.222
Bi 1.727 0.997 8.738
Sb 0.000 0.000 0.000

Which of them is most stable? Easy: (a).

(a)
3
Lattice="3.194 0.000 0.000 0.000 5.584 0.000 0.000 -2.792 4.836" Properties=species:S:1:pos:R:3 comment="PBE PuBiSb, relaxed" dos_at_fermi_per_ev_fu=10.170 crystal_system=trigonal mass_density_g_cm3=11.1 pbc="T T T"
Bi 1.601 0.000 3.224
Sb 1.591 2.792 1.612
Pu 0.003 0.000 0.000

(b)
6
Lattice="4.555 0.000 0.000 0.000 4.545 0.000 -2.278 0.000 8.152" Properties=species:S:1:pos:R:3 comment="PBE PuBiSb, relaxed" dos_at_fermi_per_ev_fu=9.515 crystal_system=orthorhombic mass_density_g_cm3=11.3 pbc="T T T"
Pu 2.278 0.062 1.499
Sb 0.000 2.334 1.083
Pu 0.000 2.334 6.654
Bi 0.000 0.063 4.041
Sb 2.278 0.061 7.069
Bi 2.278 2.336 4.111

(c)
3
Lattice="4.040 0.000 0.000 0.000 4.040 0.000 -2.020 -2.020 5.194" Properties=species:S:1:pos:R:3 comment="PBE PuBiSb, relaxed" dos_at_fermi_per_ev_fu=10.068 crystal_system=tetragonal mass_density_g_cm3=11.3 pbc="T T T"
Sb 2.020 2.020 1.622
Bi 0.000 0.000 3.508
Pu 0.000 0.000 0.065

Which of them is most stable? Easy: (b).